# 1
4
Lattice="-1.1935 -3.5955 4.9832 1.6325 -1.7974 5.7696 -1.4713 -0.3444 6.0746" Properties=species:S:1:pos:R:3 comment="MgCuF2 (PBE, optimized geometry)" polymorph_energy_mev_per_atom=740 volume_a3_per_cell=60.9 magmom_total_mub_per_fu=0.0 sg="No. 166" dos_at_fermi_per_ev_cell=1.0 crystal_system=trigonal formation_energy_uncorrected_ev_per_atom=-1.454 dft_energy_ev_per_atom=-3.8123 pbc="T T T"
Mg 0.0000 0.0000 0.0000
Cu -0.5161 -2.8687 8.4137
F -0.9207 -5.1172 15.0086
F -0.1116 -0.6201 1.8188

# 2
10
Lattice="-4.3743 4.3513 1.4539 -4.5878 -4.1358 -1.4249 -4.5027 -1.3310 4.2585" Properties=species:S:1:pos:R:3 comment="Cs2HoPaO6 (PBE, optimized geometry)" volume_a3_per_cell=180.1 magmom_total_mub_per_fu=2.1 sg="No. 225" dos_at_fermi_per_ev_cell=7.5 crystal_system=cubic formation_energy_uncorrected_ev_per_atom=-2.504 dft_energy_ev_per_atom=-7.0572 pbc="T T T"
Cs -6.7865 -2.6794 1.4239
Cs -6.6783 1.5639 2.8636
Ho -4.4810 0.1077 0.0145
Pa 0.0000 0.0000 0.0000
O -4.5358 -2.0728 -0.7251
O -11.2864 -1.1677 4.2803
O -4.4919 -0.6317 2.1955
O -4.4263 2.2883 0.7542
O -2.1784 0.0522 0.0073
O -8.9730 -0.4838 2.0920

# 3
8
Lattice="7.8093 0.0000 0.0000 0.0000 7.8093 0.0000 3.9046 3.9046 2.8649" Properties=species:S:1:pos:R:3 comment="Ca2FeRu (PBE, optimized geometry)" delta_e_f_ev_per_fu=3.1 polymorph_energy_mev_per_atom=567 volume_a3_per_cell=174.7 magmom_total_mub_per_fu=3.7 sg="No. 122" dos_at_fermi_per_ev_cell=5.1 crystal_system=tetragonal dft_energy_ev_per_atom=-4.6480 pbc="T T T"
Ru 0.0000 0.0000 0.0000
Ru 7.8093 3.9046 1.4325
Ca 5.9572 1.9523 0.7162
Ca 1.8521 5.8570 0.7162
Ca 5.8570 5.7567 2.1487
Ca 9.7616 9.8618 2.1487
Fe 3.9046 3.9046 0.0000
Fe 3.9046 7.8093 1.4325

# 4
12
Lattice="-0.9382 2.5780 4.7316 -4.1181 -2.6101 -2.4833 4.2770 -6.3980 2.7173" Properties=species:S:1:pos:R:3 comment="CdPd4Pt (PBE, optimized geometry)" delta_e_f_ev_per_fu=-0.4 polymorph_energy_mev_per_atom=120 volume_a3_per_cell=200.5 magmom_total_mub_per_fu=0.0 sg="No. 70" dos_at_fermi_per_ev_cell=13.9 crystal_system=orthorhombic dft_energy_ev_per_atom=-4.6847 pbc="T T T"
Cd -1.8565 -2.2634 0.9013
Cd 1.0773 -4.1667 4.0644
Pd 2.2247 -4.0171 6.6088
Pd 0.5720 -6.6709 2.9303
Pd -0.0438 -4.3138 1.5080
Pd -0.7354 -2.1163 3.4577
Pd -2.3347 -4.7687 -0.2429
Pd -1.3512 0.2408 2.0354
Pd 1.5555 -1.6614 5.2085
Pd -3.0039 -2.4130 -1.6431
Pt -0.5129 -6.7598 0.4564
Pt -0.2663 0.3297 4.5093

# 5
12
Lattice="5.4933 0.0000 0.0000 2.7466 4.7573 0.0000 2.7466 1.5858 9.0854" Properties=species:S:1:pos:R:3 comment="DyY3Ga8 (PBE, optimized geometry)" delta_e_f_ev_per_fu=-6.8 volume_a3_per_cell=237.4 magmom_total_mub_per_fu=0.0 sg="No. 160" dos_at_fermi_per_ev_cell=6.3 crystal_system=trigonal dft_energy_ev_per_atom=-4.5863 pbc="T T T"
Dy 8.2399 4.7573 3.3909
Y 5.4932 3.1715 7.9338
Y 8.2399 4.7573 0.0178
Y 5.4932 3.1715 4.5572
Ga 6.8664 2.3787 1.7067
Ga 6.8673 5.5498 6.2432
Ga 4.1201 2.3787 1.7067
Ga 9.6125 5.5498 6.2432
Ga 2.7466 1.5858 3.9752
Ga 8.2399 4.7573 8.5164
Ga 5.4932 4.7572 1.7067
Ga 8.2399 3.1724 6.2432

# 6
12
Lattice="4.6462 -0.0200 0.8260 2.2271 4.0777 0.8260 -0.1113 -0.0657 13.1793" Properties=species:S:1:pos:R:3 comment="Li2Mg5Hg5 (PBE, optimized geometry)" delta_e_f_ev_per_fu=-3.0 volume_a3_per_cell=250.8 magmom_total_mub_per_fu=0.0 sg="No. 12" dos_at_fermi_per_ev_cell=3.9 crystal_system=monoclinic dft_energy_ev_per_atom=-1.3563 pbc="T T T"
Li 0.3888 0.2295 10.4714
Li 6.3731 3.7625 4.3600
Mg 3.3810 1.9960 7.4157
Mg 2.1083 1.2447 1.5634
Mg 1.5065 0.8894 4.7045
Mg 5.2555 3.1026 10.1269
Mg 4.6536 2.7473 13.2680
Hg 5.8581 3.4584 7.0130
Hg 2.6366 1.5566 11.2895
Hg 4.1253 2.4354 3.5419
Hg 0.9038 0.5336 7.8184
Hg 0.0000 0.0000 0.0000

Number 1: theoretical density 3.4 g/cm3. Number 2: theoretical density 7.0 g/cm3. Number 3: theoretical density 4.5 g/cm3. Number 4: theoretical density 12.1 g/cm3. Number 5: theoretical density 6.9 g/cm3. Number 6: theoretical density 7.5 g/cm3.